Entry 1:
Computed, not measured: a relaxed Rb2Zn3Sn4Hg crystal at the PBE level of DFT.

## Properties
Formation energy ... -0.091 eV per atom
SG ... No. 115
Total magnetization ... 0.00 μB/cell
N(E_F) ... 4.4 states/eV per cell

a b c (Å): 4.8559 4.8559 11.8769
angles (deg): 90.00 90.00 90.00
Positions (direct):
Rb 0.0000 0.5000 0.2482
Rb 0.5000 0.0000 0.7518
Zn 0.0000 0.0000 0.0000
Zn 0.0000 0.5000 0.6330
Zn 0.5000 0.0000 0.3670
Sn 0.0000 0.0000 0.5000
Sn 0.0000 0.5000 0.8646
Sn 0.5000 0.0000 0.1354
Sn 0.5000 0.5000 0.5000
Hg 0.5000 0.5000 0.0000

Entry 2:
Computed, not measured: a relaxed RbSrHg2 crystal at the PBE level of DFT.

## Properties
Formation energy ... -0.129 eV per atom
SG ... No. 122
Total magnetization ... 0.00 μB/cell
N(E_F) ... 8.9 states/eV per cell

a b c (Å): 7.6427 7.6427 7.6427
angles (deg): 106.05 106.05 116.56
Positions (direct):
Rb 0.0000 0.0000 0.0000
Rb 0.7500 0.2500 0.5000
Sr 0.2500 0.7500 0.5000
Sr 0.5000 0.5000 0.0000
Hg 0.1453 0.6250 0.0203
Hg 0.3750 0.3953 0.5203
Hg 0.6047 0.1250 0.9797
Hg 0.8750 0.8547 0.4797

Entry 3:
Computed, not measured: a relaxed RbSrHg3 crystal at the PBE level of DFT.

## Properties
Formation energy ... 0.140 eV per atom
SG ... No. 221
Total magnetization ... 0.00 μB/cell
N(E_F) ... 2.9 states/eV per cell
Excess energy over the best structure of this formula in the dataset ... 484 meV/atom

a b c (Å): 6.2373 6.2373 6.2373
angles (deg): 90.00 90.00 90.00
Positions (direct):
Rb 0.0000 0.0000 0.0000
Sr 0.5000 0.5000 0.5000
Hg 0.0000 0.0000 0.5000
Hg 0.0000 0.5000 0.0000
Hg 0.5000 0.0000 0.0000

Entry 4:
Computed, not measured: a relaxed Rb2Sr2Hg crystal at the PBE level of DFT.

## Properties
Formation energy ... -0.013 eV per atom
SG ... No. 127
Total magnetization ... 0.00 μB/cell
N(E_F) ... 12.0 states/eV per cell
Excess energy over the best structure of this formula in the dataset ... 0 meV/atom

a b c (Å): 8.7771 8.7771 7.7124
angles (deg): 90.00 90.00 90.00
Positions (direct):
Rb 0.1768 0.3232 0.0000
Rb 0.3232 0.8232 0.0000
Rb 0.6768 0.1768 0.0000
Rb 0.8232 0.6768 0.0000
Sr 0.1703 0.6703 0.5000
Sr 0.3297 0.1703 0.5000
Sr 0.6703 0.8297 0.5000
Sr 0.8297 0.3297 0.5000
Hg 0.0000 0.0000 0.5000
Hg 0.5000 0.5000 0.5000

Entry 5:
Computed, not measured: a relaxed RbSrHg4 crystal at the PBE level of DFT.

## Properties
Formation energy ... -0.229 eV per atom
SG ... No. 216
Total magnetization ... 0.00 μB/cell
N(E_F) ... 3.1 states/eV per cell
Excess energy over the best structure of this formula in the dataset ... 100 meV/atom

a b c (Å): 6.4069 6.4069 6.4069
angles (deg): 60.00 60.00 60.00
Positions (direct):
Rb 0.0000 0.0000 0.0000
Sr 0.7500 0.7500 0.7500
Hg 0.3750 0.3750 0.3750
Hg 0.3750 0.3750 0.8749
Hg 0.3750 0.8749 0.3750
Hg 0.8749 0.3750 0.3750

Entry 6:
Computed, not measured: a relaxed RbSrHg crystal at the PBE level of DFT.

## Properties
Formation energy ... -0.202 eV per atom
SG ... No. 107
Total magnetization ... 0.00 μB/cell
N(E_F) ... 3.5 states/eV per cell
Excess energy over the best structure of this formula in the dataset ... 0 meV/atom

a b c (Å): 8.3299 8.3299 8.3299
angles (deg): 150.25 150.25 42.58
Positions (direct):
Rb 0.0000 0.0000 0.0000
Sr 0.7374 0.7374 0.0000
Hg 0.3351 0.3351 0.0000

Entry 7:
Computed, not measured: a relaxed RbSrHg6 crystal at the PBE level of DFT.

## Properties
Formation energy ... -0.298 eV per atom
SG ... No. 38
Total magnetization ... 0.00 μB/cell
N(E_F) ... 4.0 states/eV per cell

a b c (Å): 5.4936 7.1612 7.1612
angles (deg): 60.02 90.00 90.00
Positions (direct):
Rb 0.0000 0.0000 0.0000
Sr 0.5000 0.6678 0.6678
Hg 0.0000 0.0176 0.4915
Hg 0.0000 0.4915 0.0176
Hg 0.0000 0.4933 0.4933
Hg 0.5000 0.1827 0.1827
Hg 0.5000 0.1840 0.6344
Hg 0.5000 0.6344 0.1840

Entry 8:
Computed, not measured: a relaxed RbSrHg2 crystal at the PBE level of DFT.

## Properties
Formation energy ... -0.318 eV per atom
SG ... No. 123
Total magnetization ... 0.00 μB/cell
N(E_F) ... 3.5 states/eV per cell

a b c (Å): 4.0906 4.0906 8.8511
angles (deg): 90.00 90.00 90.00
Positions (direct):
Rb 0.0000 0.0000 0.0000
Sr 0.0000 0.0000 0.5000
Hg 0.5000 0.5000 0.2913
Hg 0.5000 0.5000 0.7087

Entry 9:
Computed, not measured: a relaxed RbSrHg3 crystal at the PBE level of DFT.

## Properties
Formation energy ... -0.078 eV per atom
SG ... No. 221
Total magnetization ... 0.00 μB/cell
N(E_F) ... 3.9 states/eV per cell
Excess energy over the best structure of this formula in the dataset ... 266 meV/atom

a b c (Å): 6.3084 6.3084 6.3084
angles (deg): 90.00 90.00 90.00
Positions (direct):
Rb 0.0000 0.0000 0.0000
Sr 0.5000 0.5000 0.5000
Hg 0.0000 0.5000 0.5000
Hg 0.5000 0.0000 0.5000
Hg 0.5000 0.5000 0.0000

Entry 10:
Computed, not measured: a relaxed RbSrHg3 crystal at the PBE level of DFT.

## Properties
Formation energy ... -0.343 eV per atom
SG ... No. 63
Total magnetization ... 0.00 μB/cell
N(E_F) ... 7.3 states/eV per cell
Excess energy over the best structure of this formula in the dataset ... 0 meV/atom

a b c (Å): 15.6876 15.6876 5.1150
angles (deg): 90.00 90.00 163.23
Positions (direct):
Rb 0.0754 0.9246 0.7500
Rb 0.9246 0.0754 0.2500
Sr 0.2063 0.7937 0.2500
Sr 0.7937 0.2063 0.7500
Hg 0.3151 0.6849 0.2500
Hg 0.3738 0.6262 0.7500
Hg 0.4731 0.5269 0.7500
Hg 0.5269 0.4731 0.2500
Hg 0.6262 0.3738 0.2500
Hg 0.6849 0.3151 0.7500

Entry 11:
Computed, not measured: a relaxed Rb3SrHg crystal at the PBE level of DFT.

## Properties
Formation energy ... 0.368 eV per atom
SG ... No. 221
Total magnetization ... 0.00 μB/cell
N(E_F) ... 4.3 states/eV per cell
Excess energy over the best structure of this formula in the dataset ... 309 meV/atom

a b c (Å): 8.4364 8.4364 8.4364
angles (deg): 90.00 90.00 90.00
Positions (direct):
Rb 0.0000 0.0000 0.5000
Rb 0.0000 0.5000 0.0000
Rb 0.5000 0.0000 0.0000
Sr 0.0000 0.0000 0.0000
Hg 0.5000 0.5000 0.5000

Entry 12:
Computed, not measured: a relaxed RbSr4Hg5 crystal at the PBE level of DFT.

## Properties
Formation energy ... -0.445 eV per atom
SG ... No. 123
Total magnetization ... 0.00 μB/cell
N(E_F) ... 7.7 states/eV per cell

a b c (Å): 4.0257 4.0257 20.9192
angles (deg): 90.00 90.00 90.00
Positions (direct):
Rb 0.0000 0.0000 0.0000
Sr 0.0000 0.0000 0.2139
Sr 0.0000 0.0000 0.4051
Sr 0.0000 0.0000 0.5949
Sr 0.0000 0.0000 0.7861
Hg 0.5000 0.5000 0.1227
Hg 0.5000 0.5000 0.3086
Hg 0.5000 0.5000 0.5000
Hg 0.5000 0.5000 0.6914
Hg 0.5000 0.5000 0.8773